Here is a relaxed structure of ScTa2PO from Alexandria via LeMat-Bulk. Energies are from PBE-GGA.

Properties
Final energy in eV/atom: -8.77
Raw formation energy in eV per atom: -0.69
SG: P4/mmm (123)
N(E_F) in states/eV/f.u.: 4.1

The structure in extended XYZ format:
```
5
Lattice="-3.4398 0.6248 2.2271 -1.9256 -3.3900 -2.0230 1.4311 -2.5607 2.9287" Properties=species:S:1:pos:R:3 pbc="T T T"
Sc -0.9628 -1.6950 -1.0115
P -1.9671 -2.6629 1.5664
O 0.0000 0.0000 0.0000
Ta 0.7156 -1.2803 1.4644
Ta -1.7199 0.3124 1.1136
```

Here is a relaxed structure of Sm11Ho9Th4 from Alexandria via LeMat-Bulk. Energies are from PBE-GGA.

Properties
Final energy in eV/atom: -5.00
Energy of formation in eV per atom: 0.113
SG: Cmmm (65)
N(E_F) in states/eV/f.u.: 34.6

The structure in extended XYZ format:
```
24
Lattice="-0.3354 -2.1231 -3.0126 5.2688 -12.0185 7.8834 -15.2295 1.3730 0.7280" Properties=species:S:1:pos:R:3 pbc="T T T"
Sm -11.4171 -5.8009 5.3593
Sm 1.4564 -4.8447 3.2521
Sm -3.9827 -10.6578 7.9544
Sm -5.9780 0.0122 0.6569
Sm -2.2489 -7.1072 5.2592
Sm -7.7118 -3.5383 3.3522
Sm 2.0266 -9.9004 6.7516
Sm -11.9873 -0.7452 1.8598
Sm 0.0000 0.0000 0.0000
Sm -7.0615 -7.5470 6.1049
Sm -2.8992 -3.0985 2.5064
Ho 0.6978 -8.4665 3.6159
Ho -10.9939 -4.3021 1.9828
Ho -8.9767 -2.1462 0.2389
Ho -1.3194 -10.6224 5.3599
Ho -10.2349 -9.2557 5.3893
Ho -0.0612 -3.5130 0.2095
Ho -7.2556 -11.2021 6.4293
Ho -3.0405 -1.5666 -0.8305
Ho -5.1480 -6.3843 2.7994
Th -8.7959 -6.6870 3.4188
Th -1.5002 -6.0817 2.1799
Th -4.6195 -9.4154 4.8767
Th -5.6766 -3.3532 0.7221
```

Here is a relaxed structure of MgAl2RhW from Alexandria via LeMat-Bulk. Energies are from PBE-GGA.

Properties
Final energy in eV/atom: -5.32
Energy of formation in eV per atom: 0.555
SG: P4/mmm (123)
N(E_F) in states/eV/f.u.: 4.0

The structure in extended XYZ format:
```
5
Lattice="4.5987 0.0000 0.0000 0.0000 4.9156 0.0000 0.0000 0.0000 4.5987" Properties=species:S:1:pos:R:3 pbc="T T T"
Mg 2.2993 2.4578 2.2993
Rh 0.0000 0.0000 0.0000
Al 0.0000 0.0000 2.2993
Al 2.2993 0.0000 0.0000
W 0.0000 2.4578 0.0000
```

Here is a relaxed structure of Pm2Zn3Pd5 from Alexandria via LeMat-Bulk. Energies are from PBE-GGA.

Properties
Final energy in eV/atom: -4.57
Energy of formation in eV per atom: -0.646
SG: Cmc2_1 (36)
N(E_F) in states/eV/f.u.: 4.2
Energy relative to the lowest polymorph listed for this composition in meV per atom: 11

The structure in extended XYZ format:
```
20
Lattice="-2.4642 -2.3634 -2.5358 4.6168 -5.1109 0.2771 -4.5505 -3.5006 11.2511" Properties=species:S:1:pos:R:3 pbc="T T T"
Pm -2.1739 -8.0950 9.6572
Pm 1.5671 -5.6467 3.7400
Pm -3.6742 -5.6501 5.2699
Pm -0.5393 -2.5309 -0.6837
Zn -0.6688 -8.1348 4.6652
Zn -0.6915 -4.6452 1.4348
Zn 3.6882 -5.0594 1.1314
Zn -0.9232 -3.7321 4.3755
Zn -4.6159 -7.5430 7.9492
Zn 0.0559 -8.2806 7.6634
Pd -3.1525 -5.4527 8.1455
Pd -0.7173 -5.9693 6.2605
Pd -2.9832 -3.5635 2.6537
Pd -0.5463 -2.0126 2.4066
Pd -2.9858 -2.7019 5.4196
Pd -6.1795 -5.4877 7.5530
Pd -1.4239 -6.0459 3.4520
Pd -2.5215 -8.2207 6.5455
Pd 1.7862 -3.2782 1.3197
Pd 1.4723 -6.3166 0.8900
```

Here is a relaxed structure of HfTiIr2 from Alexandria via LeMat-Bulk. Energies are from PBE-GGA.

Properties
Final energy in eV/atom: -8.93
Energy of formation in eV per atom: -0.034
SG: I-42d (122)
N(E_F) in states/eV/f.u.: 4.9

The structure in extended XYZ format:
```
8
Lattice="4.2004 0.0000 0.0000 0.0000 4.2004 0.0000 2.1002 2.1002 8.4731" Properties=species:S:1:pos:R:3 pbc="T T T"
Ir 3.0300 1.0501 2.1183
Ir 1.1704 3.1503 2.1183
Ir 3.1503 3.2706 6.3548
Ir 5.2505 5.1301 6.3548
Hf 0.0000 0.0000 0.0000
Hf 4.2004 2.1002 4.2366
Ti 2.1002 2.1002 0.0000
Ti 2.1002 4.2004 4.2366
```

Here is a relaxed structure of BaTl2PtI from Alexandria via LeMat-Bulk. Energies are from PBE-GGA.

Properties
Final energy in eV/atom: -3.49
Raw formation energy in eV per atom: -0.64
SG: P4/mmm (123)
N(E_F) in states/eV/f.u.: 2.8

The structure in extended XYZ format:
```
5
Lattice="-0.0538 5.1355 -1.4860 -3.8032 -1.0812 -3.5988 -4.4874 1.2192 4.3760" Properties=species:S:1:pos:R:3 pbc="T T T"
I -4.1722 2.6368 -0.3544
Tl -1.9016 -0.5406 -1.7994
Tl -0.0269 2.5678 -0.7430
Ba -2.2437 0.6096 2.1880
Pt 0.0000 0.0000 0.0000
```

Here is a relaxed structure of SrAuC2 from Alexandria via LeMat-Bulk. Energies are from PBE-GGA.

Properties
Final energy in eV/atom: -5.78
Energy of formation in eV per atom: 0.069
SG: P1 (1)
N(E_F) in states/eV/f.u.: 0.8
Energy relative to the lowest polymorph listed for this composition in meV per atom: 148

The structure in extended XYZ format:
```
8
Lattice="4.5763 -0.1343 0.2123 -2.1212 4.2274 -0.1790 -0.5712 -2.0492 9.1825" Properties=species:S:1:pos:R:3 pbc="T T T"
Sr 1.6283 0.0338 1.3223
Sr 1.4364 0.1232 5.4762
C 1.4162 2.2980 7.4572
C 1.7835 2.4966 0.1273
C 1.3078 1.3722 8.4533
C 3.6442 -1.0894 6.7017
Au 1.6378 2.8845 3.3181
Au -0.6936 1.4979 3.2634
```

Here is a relaxed structure of RbTlZnGeSe from Alexandria via LeMat-Bulk. Energies are from PBE-GGA.

Properties
Final energy in eV/atom: -2.86
Raw formation energy in eV per atom: -0.32
SG: Cm (8)
N(E_F) in states/eV/f.u.: 0.9
Energy relative to the lowest polymorph listed for this composition in meV per atom: 0

The structure in extended XYZ format:
```
5
Lattice="3.8640 0.0300 0.0035 -0.0359 4.6575 -0.0757 -1.9171 -1.9758 8.9060" Properties=species:S:1:pos:R:3 pbc="T T T"
Zn 2.5587 -0.6478 5.0371
Tl 0.6145 1.4943 2.8151
Ge 2.5235 3.8276 2.4949
Se 0.6240 -0.5283 6.5046
Rb -1.3273 1.7995 8.1037
```

Here is a relaxed structure of PmGa2Br5 from Alexandria via LeMat-Bulk. Energies are from PBE-GGA.

Properties
Final energy in eV/atom: -3.60
Raw formation energy in eV per atom: -1.20
SG: C2/c (15)
N(E_F) in states/eV/f.u.: 0.0

The structure in extended XYZ format:
```
16
Lattice="7.1829 0.0000 3.0974 2.4228 10.0504 4.2589 0.5101 0.3039 8.6943" Properties=species:S:1:pos:R:3 pbc="T T T"
Pm 8.8893 7.9715 9.0158
Pm 7.9342 3.0983 11.2341
Ga 5.8050 5.7809 6.8075
Ga 2.3669 0.1085 3.8719
Ga 4.4743 0.9077 8.8638
Ga 4.2089 5.2856 10.5104
Br 6.2515 3.4284 8.9282
Br 8.6153 6.4458 6.6022
Br 1.9223 2.4633 1.7492
Br 4.5383 8.3016 5.5593
Br 2.6946 1.5725 6.6792
Br 6.0578 7.6404 9.3767
Br 5.4800 4.3170 3.9993
Br 9.1623 9.4941 11.4314
Br 5.8875 0.3574 3.1926
Br 2.2864 5.5345 7.4840
```

Here is a relaxed structure of Ta2PbAu from Alexandria via LeMat-Bulk. Energies are from PBE-GGA.

Properties
Final energy in eV/atom: -7.38
Energy of formation in eV per atom: 0.291
SG: C2/m (12)
N(E_F) in states/eV/f.u.: 1.8

The structure in extended XYZ format:
```
4
Lattice="5.2838 -0.0546 0.0785 4.2933 3.0804 0.0785 1.0766 0.3401 4.8192" Properties=species:S:1:pos:R:3 pbc="T T T"
Au 7.9903 2.5245 3.7321
Pb 2.6634 0.8415 1.2440
Ta 1.0925 0.3452 4.7102
Ta 5.3109 1.6779 2.5971
```

Here is a relaxed structure of BaLi2Dy2Tl2 from Alexandria via LeMat-Bulk. Energies are from PBE-GGA.

Properties
Final energy in eV/atom: -3.01
Energy of formation in eV per atom: -0.197
SG: R-3m (166)
N(E_F) in states/eV/f.u.: 6.5

The structure in extended XYZ format:
```
7
Lattice="-2.2807 0.2747 4.4763 1.9175 -2.4488 3.9548 5.1889 7.0336 5.0397" Properties=species:S:1:pos:R:3 pbc="T T T"
Ba 0.0000 0.0000 0.0000
Li 1.1674 0.6100 6.2125
Li 3.6584 4.2494 7.2583
Dy 3.0875 3.9633 4.1575
Dy 1.7383 0.8962 9.3134
Tl 3.5511 3.5448 10.0745
Tl 1.2747 1.3146 3.3964
```

Here is a relaxed structure of Ti4ReMo2 from Alexandria via LeMat-Bulk. Energies are from PBE-GGA.

Properties
Final energy in eV/atom: -9.28
Energy of formation in eV per atom: 0.100
SG: C2/m (12)
N(E_F) in states/eV/f.u.: 9.3
Energy relative to the lowest polymorph listed for this composition in meV per atom: 0

The structure in extended XYZ format:
```
7
Lattice="2.6867 0.0000 0.0000 0.0000 7.0064 -0.0054 -1.3433 -3.4836 6.0909" Properties=species:S:1:pos:R:3 pbc="T T T"
Ti 1.3433 -0.9992 5.2139
Ti 0.0000 4.5220 0.8716
Ti 1.3433 1.9952 1.7267
Ti 0.0000 1.5276 4.3588
Re 0.0000 0.0000 0.0000
Mo 1.3433 3.9811 3.4414
Mo 0.0000 -0.4584 2.6440
```

Here is a relaxed structure of Dy4CS3 from Alexandria via LeMat-Bulk. Energies are from PBE-GGA.

Properties
Final energy in eV/atom: -6.68
Raw formation energy in eV per atom: -1.68
SG: Cmmm (65)
N(E_F) in states/eV/f.u.: 2.0
Energy relative to the lowest polymorph listed for this composition in meV per atom: 0

The structure in extended XYZ format:
```
8
Lattice="-3.6264 -0.4208 1.0459 -1.8500 -0.0498 -6.4344 1.2864 -6.2796 1.9337" Properties=species:S:1:pos:R:3 pbc="T T T"
C -1.8132 -0.2104 0.5230
S 0.6432 -3.1398 0.9668
S -2.0950 -3.3751 -1.7274
S -0.9250 -0.0249 -3.2172
Dy -0.1237 -1.3891 -0.9878
Dy -2.9387 -1.6992 -3.9786
Dy -0.4399 -4.9402 -3.5130
Dy -1.2512 -5.0510 0.5237
```

Here is a relaxed structure of Rb2HfMg from Alexandria via LeMat-Bulk. Energies are from PBE-GGA.

Properties
Final energy in eV/atom: -2.10
Energy of formation in eV per atom: 1.266
SG: I-42d (122)
N(E_F) in states/eV/f.u.: 6.8

The structure in extended XYZ format:
```
8
Lattice="10.3504 0.0000 0.0000 0.0000 10.3504 0.0000 5.1752 5.1752 3.3596" Properties=species:S:1:pos:R:3 pbc="T T T"
Mg 5.1752 5.1752 0.0000
Mg 5.1752 10.3504 1.6798
Hf 0.0000 0.0000 0.0000
Hf 10.3504 5.1752 1.6798
Rb 7.5310 2.5876 0.8399
Rb 2.8194 7.7628 0.8399
Rb 7.7628 7.9946 2.5197
Rb 12.9380 12.7062 2.5197
```

Here is a relaxed structure of VPdS2 from Alexandria via LeMat-Bulk. Energies are from PBE-GGA.

Properties
Final energy in eV/atom: -6.29
Raw formation energy in eV per atom: -0.65
SG: P1 (1)
N(E_F) in states/eV/f.u.: 2.3

The structure in extended XYZ format:
```
8
Lattice="-3.5305 -0.2983 7.4069 -2.9003 -2.6058 -5.7585 1.2594 -2.8887 -0.1925" Properties=species:S:1:pos:R:3 pbc="T T T"
S -3.2237 -3.6295 0.7320
S -1.8822 -2.8079 -2.8048
S -0.7985 -0.8151 0.2667
S -1.3339 -2.9741 3.2945
Pd -2.1587 -4.7629 -1.1529
Pd -3.6628 -3.9697 3.0307
V -2.6313 -4.7829 -3.9601
V -2.4231 -1.6186 1.7180
```

Here is a relaxed structure of ScCd2Os from Alexandria via LeMat-Bulk. Energies are from PBE-GGA.

Properties
Final energy in eV/atom: -4.66
Energy of formation in eV per atom: 0.190
SG: Fm-3m (225)
N(E_F) in states/eV/f.u.: 4.7
Energy relative to the lowest polymorph listed for this composition in meV per atom: 214

The structure in extended XYZ format:
```
4
Lattice="0.5654 -3.4953 -3.1170 -0.9922 -4.4437 1.2335 -3.7723 -2.1676 -1.8231" Properties=species:S:1:pos:R:3 pbc="T T T"
Sc 0.0000 0.0000 0.0000
Os -2.0996 -5.0533 -1.8533
Cd -1.0498 -2.5267 -0.9267
Cd -3.1494 -7.5800 -2.7800
```

Here is a relaxed structure of YW2Au from Alexandria via LeMat-Bulk. Energies are from PBE-GGA.

Properties
Final energy in eV/atom: -8.44
Energy of formation in eV per atom: 0.468
SG: C2/m (12)
N(E_F) in states/eV/f.u.: 4.0
Energy relative to the lowest polymorph listed for this composition in meV per atom: 330

The structure in extended XYZ format:
```
4
Lattice="5.1933 -0.0030 -0.0107 -2.4164 5.2842 0.0046 0.3604 0.7705 2.7464" Properties=species:S:1:pos:R:3 pbc="T T T"
Au 1.3884 2.6406 -0.0031
W 0.0000 0.0000 0.0000
W 2.7769 0.3837 1.3678
Y -1.0280 3.0273 1.3755
```

Here is a relaxed structure of Na3Bi5Se12 from Alexandria via LeMat-Bulk. Energies are from PBE-GGA.

Properties
Final energy in eV/atom: -3.54
Raw formation energy in eV per atom: -0.28
SG: Ia-3d (230)
N(E_F) in states/eV/f.u.: 12.8

The structure in extended XYZ format:
```
80
Lattice="14.8837 0.0000 0.0000 -4.9612 14.0325 0.0000 -4.9612 -7.0163 12.1525" Properties=species:S:1:pos:R:3 pbc="T T T"
Na 8.6822 4.3852 1.5191
Na 8.6822 9.6474 1.5191
Na -1.2403 6.1392 7.5953
Na 1.2403 -0.8770 4.5572
Na 11.1628 0.0000 3.0381
Na 1.2403 7.0163 3.0381
Na 3.7209 0.0000 9.1144
Na -6.2016 7.0163 9.1144
Na 3.7209 7.8933 7.5953
Na 6.2016 0.8770 4.5572
Na -3.7209 -2.6311 10.6334
Na -3.7209 2.6311 10.6334
Bi -1.2403 3.5081 3.0381
Bi -2.4806 7.0163 0.0000
Bi 0.0000 0.0000 0.0000
Bi 3.7209 2.6311 1.5191
Bi 4.9612 -3.5081 6.0763
Bi 4.9612 7.0163 0.0000
Bi -3.7209 7.8933 4.5572
Bi 6.2016 -4.3852 10.6334
Bi 6.2016 6.1392 4.5572
Bi 1.2403 -3.5081 9.1144
Bi 3.7209 10.5244 3.0381
Bi 2.4806 3.5081 6.0763
Bi 7.4419 0.0000 0.0000
Bi -2.4806 -3.5081 6.0763
Bi -1.2403 0.8770 7.5953
Bi -1.2403 11.4014 1.5191
Bi -4.9612 3.5081 6.0763
Bi 8.6822 -0.8770 7.5953
Bi 1.2403 4.3852 10.6334
Bi 6.2016 3.5081 9.1144
Se 9.8318 1.5411 0.5933
Se 0.0907 4.7926 5.0383
Se 10.9612 3.1792 3.3834
Se 6.4032 2.1676 1.6313
Se 1.8242 5.4054 8.1758
Se 10.3955 7.0027 2.0996
Se -1.0387 8.0278 5.0147
Se -3.9226 11.8649 1.6313
Se 0.6564 8.6271 8.1758
Se 6.9688 7.0299 2.0996
Se 7.5326 3.7648 4.4449
Se 7.5326 12.4914 0.5933
Se -4.3049 6.2751 6.6696
Se 2.9536 5.2048 1.0616
Se -5.0520 10.2677 4.4449
Se 2.5714 -2.2237 7.1143
Se -0.6564 0.8696 2.6929
Se 2.9536 8.8413 1.0380
Se 6.4032 10.8533 3.3834
Se -0.4730 5.1912 1.0380
Se -3.1370 7.8859 9.4596
Se 3.5193 6.0047 5.0147
Se 6.7855 7.7575 6.6696
Se 5.4343 -1.8115 11.0910
Se 1.4420 1.0115 7.1378
Se -1.8242 -0.7412 5.4829
Se -0.4730 8.8277 1.0616
Se -1.4420 -3.8371 8.7692
Se 8.0982 -0.8696 2.6929
Se 5.4343 1.8251 11.1145
Se 2.0076 -1.8251 11.1145
Se 2.3899 9.2400 5.0383
Se 5.6176 6.1466 9.4596
Se 10.0132 -3.2514 7.7076
Se 9.2661 0.7412 5.4829
Se -2.5714 -5.4751 11.5592
Se 2.0076 1.8115 11.0910
Se 4.3049 -1.6108 3.9767
Se -2.0076 -0.0136 10.0530
Se -2.5714 3.2514 7.7076
Se 8.8838 -4.8486 10.5212
Se 5.9999 -1.0115 7.1378
Se -1.4420 4.8486 10.5212
Se -5.4343 0.0136 10.0530
Se 3.1370 1.6108 3.9767
Se -5.9999 3.8371 8.7692
Se 4.8705 2.2237 7.1143
Se -4.8705 5.4751 11.5592
```

Here is a relaxed structure of Na2Cd2Bi from Alexandria via LeMat-Bulk. Energies are from PBE-GGA.

Properties
Final energy in eV/atom: -1.68
Energy of formation in eV per atom: -0.012
SG: P4/mbm (127)
N(E_F) in states/eV/f.u.: 1.8
Energy relative to the lowest polymorph listed for this composition in meV per atom: 184

The structure in extended XYZ format:
```
10
Lattice="-4.9470 2.1820 -6.8471 3.0773 -6.8687 -4.4123 -2.7256 -2.0636 1.3116" Properties=species:S:1:pos:R:3 pbc="T T T"
Na 0.9017 -5.0310 -6.0419
Na -2.1299 -2.6944 -8.6653
Na -2.7714 0.3443 -5.2174
Na 0.2601 -1.9923 -2.5941
Bi 0.0000 0.0000 0.0000
Bi -0.9349 -2.3433 -5.6297
Cd -0.0787 -5.1042 -3.0831
Cd -1.8514 -5.5774 -7.5114
Cd -4.5167 -1.6462 -6.8647
Cd -2.7440 -1.1729 -2.4363
```

Here is a relaxed structure of Gd3Au from Alexandria via LeMat-Bulk. Energies are from PBE-GGA.

Properties
Final energy in eV/atom: -11.64
Energy of formation in eV per atom: -0.255
SG: I4/mmm (139)
N(E_F) in states/eV/f.u.: 5.7
Energy relative to the lowest polymorph listed for this composition in meV per atom: 24

The structure in extended XYZ format:
```
4
Lattice="4.5916 0.0000 0.0000 0.0000 4.5916 0.0000 -2.2958 -2.2958 5.1381" Properties=species:S:1:pos:R:3 pbc="T T T"
Gd 2.2958 0.0000 2.5690
Gd 0.0000 2.2958 2.5690
Gd 2.2958 2.2958 0.0000
Au 0.0000 0.0000 0.0000
```

Here is a relaxed structure of YBePt3 from Alexandria via LeMat-Bulk. Energies are from PBE-GGA.

Properties
Final energy in eV/atom: -6.07
Energy of formation in eV per atom: -0.404
SG: P4mm (99)
N(E_F) in states/eV/f.u.: 2.6
Energy relative to the lowest polymorph listed for this composition in meV per atom: 552

The structure in extended XYZ format:
```
5
Lattice="3.8560 0.0000 0.0000 0.0000 3.8560 0.0000 0.0000 0.0000 6.8147" Properties=species:S:1:pos:R:3 pbc="T T T"
Y 0.0000 0.0000 0.7127
Be 1.9280 1.9280 4.2319
Pt 0.0000 0.0000 4.8613
Pt 1.9280 0.0000 2.8104
Pt 0.0000 1.9280 2.8104
```